1.
{
  "formula": "HfCoI2O",
  "functional": "PBE+U",
  "state": "relaxed",
  "energy_ev_per_cell": -22.9,
  "lattice": [[5.6084, 0.0000, 0.0000], [0.0000, 5.6084, 0.0000], [0.0000, 0.0000, 3.5507]],
  "species": ["Hf", "Co", "I", "I", "O"],
  "frac_coords": [[0.0000, 0.0000, 0.0000], [0.5000, 0.5000, 0.5000], [0.0000, 0.5000, 0.5000], [0.5000, 0.0000, 0.5000], [0.5000, 0.5000, 0.0000]]
}

2.
{
  "formula": "Hf2CoIO",
  "functional": "PBE+U",
  "state": "relaxed",
  "energy_ev_per_cell": -32.7,
  "lattice": [[4.6160, 0.0000, 0.0000], [0.0000, 4.6160, 0.0000], [0.0000, 0.0000, 3.7973]],
  "species": ["Hf", "Hf", "Co", "I", "O"],
  "frac_coords": [[0.0000, 0.5000, 0.0000], [0.5000, 0.0000, 0.0000], [0.0000, 0.0000, 0.5000], [0.5000, 0.5000, 0.5000], [0.0000, 0.0000, 0.0000]]
}

3.
{
  "formula": "HfCoI2O",
  "functional": "PBE+U",
  "state": "relaxed",
  "energy_ev_per_cell": -25.8,
  "lattice": [[5.8339, 0.0000, 0.0000], [0.0000, 5.8339, 0.0000], [0.0000, 0.0000, 3.9658]],
  "species": ["Hf", "Co", "I", "I", "O"],
  "frac_coords": [[0.0000, 0.0000, 0.0000], [0.5000, 0.5000, 0.5000], [0.0000, 0.5000, 0.0000], [0.5000, 0.0000, 0.0000], [0.0000, 0.0000, 0.5000]]
}